# NiHg2Ru

A relaxed NiHg2Ru crystal (PBE, Alexandria via LeMat-Bulk).

Summary:
Formation energy from the elements, eV per atom: 0.62
Polymorph energy (0 for the lowest one), meV/atom: 263
Symmetry: F-43m (216)

POSCAR file:
```
NiHg2Ru
1.0
4.5824 0.0000 0.0000
2.2912 3.9685 0.0000
2.2912 1.3228 3.7415
Hg Ni Ru
2 1 1
direct
0.2500 0.2500 0.2500
0.0000 0.0000 0.0000
0.5000 0.5000 0.5000
0.7500 0.7500 0.7500
```